Computed, not measured: a relaxed structure of ErTm2Hg at the PBE level of DFT.

POSCAR file:
```
ErTm2Hg
1.0
-2.414 1.593 -2.067
-3.330 -1.240 -0.124
-4.544 6.389 7.173
Hg Tm Er
1 2 1
direct
0.000 0.000 0.000
0.257 0.257 0.229
0.743 0.743 0.771
0.500 0.500 0.500
```

crystal system = trigonal
energy relative to the elements = -0.16 eV per atom
distance to the lowest polymorph of the same formula = 6.5 kJ/mol of atoms
SG = R-3m, No. 166

Computed, not measured: a relaxed structure of Sc4Ru3 at the PBE level of DFT.

POSCAR file:
```
Sc4Ru3
1.0
2.611 -4.522 0.000
2.611 4.522 0.000
0.000 0.000 5.483
Ru Sc
3 4
direct
0.500 0.000 0.000
0.500 0.500 0.000
0.000 0.500 0.000
0.000 0.000 0.242
0.667 0.333 0.500
0.000 0.000 0.758
0.333 0.667 0.500
```

crystal system = hexagonal
energy relative to the elements = -0.22 eV per atom
distance to the lowest polymorph of the same formula = 18.8 kJ/mol of atoms
SG = P6/mmm, No. 191

Computed, not measured: a relaxed structure of ReAsPbSe2 at the PBE level of DFT.

POSCAR file:
```
ReAsPbSe2
1.0
-3.799 -2.832 -1.908
-0.968 -1.845 4.665
-3.032 3.546 0.773
Pb Se As Re
1 2 1 1
direct
0.500 0.500 0.500
0.000 0.500 0.000
0.500 0.000 0.000
0.000 0.000 0.500
0.000 0.000 0.000
```

crystal system = tetragonal
formation energy from raw total energies = 358 meV per atom
distance to the lowest polymorph of the same formula = 0.0 kJ/mol of atoms
SG = P4/mmm, No. 123

Computed, not measured: a relaxed structure of K2AgBr at the PBE level of DFT.

POSCAR file:
```
K2AgBr
1.0
5.821 0.000 0.000
2.911 5.041 0.000
2.911 1.680 4.753
Ag K Br
1 2 1
direct
0.500 0.500 0.500
0.250 0.250 0.250
0.000 0.000 0.000
0.750 0.750 0.750
```

crystal system = cubic
formation energy from raw total energies = -449 meV per atom
distance to the lowest polymorph of the same formula = 33.1 kJ/mol of atoms
SG = F-43m, No. 216

Computed, not measured: a relaxed structure of CeHfSn2 at the PBE level of DFT.

POSCAR file:
```
CeHfSn2
1.0
3.901 0.000 0.000
0.000 3.901 0.000
0.000 0.000 6.582
Sn Ce Hf
2 1 1
direct
0.000 0.000 0.778
0.000 0.000 0.222
0.500 0.500 0.500
0.500 0.500 0.000
```

crystal system = tetragonal
energy relative to the elements = -0.37 eV per atom
SG = P4/mmm, No. 123

Computed, not measured: a relaxed structure of NaCa4Ac3Te8 at the PBE level of DFT.

POSCAR file:
```
NaCa4Ac3Te8
1.0
9.219 0.000 0.000
0.000 9.256 0.020
-4.609 -4.605 6.523
Te Ca Ac Na
8 4 3 1
direct
0.253 0.763 0.010
0.253 0.763 0.506
0.756 0.768 0.512
0.243 0.237 0.990
0.747 0.237 0.990
0.757 0.763 0.010
0.747 0.237 0.494
0.244 0.232 0.488
0.000 0.000 0.000
0.500 0.000 0.500
0.500 0.000 0.000
0.000 0.000 0.500
0.000 0.500 0.500
0.500 0.500 0.500
0.500 0.500 0.000
0.000 0.500 0.000
```

crystal system = trigonal
formation energy from raw total energies = -1533 meV per atom
SG = R-3m, No. 166

Record-wise magnetization values, in μB/f.u.: 0.000; 0.000; 0.880; 0.000; 0.720; 0.000
Record-wise E_tot values, in eV per cell: -14.4; -54.7; -26.0; -8.5; -25.4; -71.3